Computed, not measured: a relaxed structure of In3GaHgPb at the PBE level of DFT.

Cell: 3.489 10.872 11.525 Å, 132.03 90.00 90.00°
Sites, in units of the cell vectors:
Pb: 0.250 0.203 0.191
Pb: 0.750 0.797 0.809
Hg: 0.750 0.300 0.810
Hg: 0.250 0.700 0.190
In: 0.250 0.562 0.849
In: 0.250 0.624 0.479
In: 0.750 0.376 0.521
In: 0.750 0.438 0.151
In: 0.750 0.917 0.154
In: 0.250 0.083 0.846
Ga: 0.250 0.924 0.524
Ga: 0.750 0.076 0.476

Density of states at the Fermi level = 4.67 states/eV/cell
Magnetization = 0.00 μB per cell
Space group = No. 11
ΔE_f = 0.0521 eV per atom